# 1
Computed, not measured: a geometry-optimized ZnTc2Cl structure at the PBEsol level of DFT. Values from VASP.

Cell and atoms, written as Quantum ESPRESSO input:
```
&SYSTEM
  ibrav = 0, nat = 4, ntyp = 3
/
ATOMIC_SPECIES
Zn 65.41 Zn.upf
Tc 98.00 Tc.upf
Cl 35.45 Cl.upf
CELL_PARAMETERS angstrom
4.312 0.000 0.000
0.000 4.312 0.000
0.000 0.000 2.903
ATOMIC_POSITIONS crystal
Zn 0.000 0.000 0.000
Tc 0.000 0.500 0.500
Tc 0.500 0.000 0.500
Cl 0.500 0.500 0.000
```

Values from the calculation:
The value obtained for the density of states at the Fermi level is 1.1284 states/eV/atom. As for the volume: 54.0 Å³ per cell. For the uncorrected energy, the calculation gives -23.29 eV per formula unit.

# 2
Computed, not measured: a geometry-optimized Hf2CrCo structure at the PBEsol level of DFT. Values from VASP.

Cell and atoms, written as Quantum ESPRESSO input:
```
&SYSTEM
  ibrav = 0, nat = 16, ntyp = 3
/
ATOMIC_SPECIES
Hf 178.49 Hf.upf
Cr 52.00 Cr.upf
Co 58.93 Co.upf
CELL_PARAMETERS angstrom
6.248 0.000 0.000
0.000 6.248 0.000
0.000 0.000 6.248
ATOMIC_POSITIONS crystal
Hf 0.250 0.250 0.250
Hf 0.250 0.250 0.750
Hf 0.250 0.750 0.250
Hf 0.250 0.750 0.750
Hf 0.750 0.250 0.250
Hf 0.750 0.250 0.750
Hf 0.750 0.750 0.250
Hf 0.750 0.750 0.750
Cr 0.000 0.000 0.000
Cr 0.000 0.500 0.500
Cr 0.500 0.000 0.500
Cr 0.500 0.500 0.000
Co 0.000 0.000 0.500
Co 0.000 0.500 0.000
Co 0.500 0.000 0.000
Co 0.500 0.500 0.500
```

Values from the calculation:
The value obtained for the density of states at the Fermi level is 1.1856 states/eV/atom. As for the volume: 243.9 Å³ per cell. For the uncorrected energy, the calculation gives -39.43 eV per formula unit. The formation energy from the elements is -43 kJ/mol of formula units.